VASP calculation (PBE) on LuMgCoSi after structural relaxation.

Geometry as CIF:
```
data_LuMgCoSi
_cell_length_a 6.3582
_cell_length_b 6.3582
_cell_length_c 6.3582
_cell_angle_alpha 90.00
_cell_angle_beta 90.00
_cell_angle_gamma 90.00
_symmetry_space_group_name_H-M 'F -4 3 m'
_symmetry_Int_Tables_number 216
_symmetry_space_group_name_Hall 'F -4 2 3'
loop_
_atom_site_label
_atom_site_fract_x
_atom_site_fract_y
_atom_site_fract_z
Lu1 0.0000 0.0000 0.0000
Mg1 0.2500 0.2500 0.7500
Co1 0.0000 0.0000 0.5000
Si1 0.2500 0.2500 0.2500
```

Computed properties:
Final energy = -0.3488 Ry per atom
Total magnetization = 0.003 μB/atom
Calculated density = 7.40 g/cm3

=====

VASP calculation (PBE) on LuMgCoSi after structural relaxation.

Geometry as CIF:
```
data_LuMgCoSi
_cell_length_a 6.4667
_cell_length_b 6.4667
_cell_length_c 6.4667
_cell_angle_alpha 90.00
_cell_angle_beta 90.00
_cell_angle_gamma 90.00
_symmetry_space_group_name_H-M 'F -4 3 m'
_symmetry_Int_Tables_number 216
_symmetry_space_group_name_Hall 'F -4 2 3'
loop_
_atom_site_label
_atom_site_fract_x
_atom_site_fract_y
_atom_site_fract_z
Lu1 0.0000 0.0000 0.0000
Mg1 0.0000 0.0000 0.5000
Co1 0.2500 0.2500 0.7500
Si1 0.2500 0.2500 0.2500
```

Computed properties:
Final energy = -0.3540 Ry per atom
Total magnetization = 0.208 μB/atom
Calculated density = 7.03 g/cm3

=====

VASP calculation (PBE) on LuMgTlCo after structural relaxation.

Geometry as CIF:
```
data_LuMgTlCo
_cell_length_a 6.7651
_cell_length_b 6.7651
_cell_length_c 6.7651
_cell_angle_alpha 90.00
_cell_angle_beta 90.00
_cell_angle_gamma 90.00
_symmetry_space_group_name_H-M 'F -4 3 m'
_symmetry_Int_Tables_number 216
_symmetry_space_group_name_Hall 'F -4 2 3'
loop_
_atom_site_label
_atom_site_fract_x
_atom_site_fract_y
_atom_site_fract_z
Lu1 0.0000 0.0000 0.0000
Mg1 0.2500 0.2500 0.7500
Tl1 0.2500 0.2500 0.2500
Co1 0.0000 0.0000 0.5000
```

Computed properties:
Final energy = -0.2750 Ry per atom
Total magnetization = 0.059 μB/atom
Calculated density = 9.92 g/cm3

=====

VASP calculation (PBE) on LuMgTlCo after structural relaxation.

Geometry as CIF:
```
data_LuMgTlCo
_cell_length_a 6.7182
_cell_length_b 6.7182
_cell_length_c 6.7182
_cell_angle_alpha 90.00
_cell_angle_beta 90.00
_cell_angle_gamma 90.00
_symmetry_space_group_name_H-M 'F -4 3 m'
_symmetry_Int_Tables_number 216
_symmetry_space_group_name_Hall 'F -4 2 3'
loop_
_atom_site_label
_atom_site_fract_x
_atom_site_fract_y
_atom_site_fract_z
Lu1 0.0000 0.0000 0.0000
Mg1 0.2500 0.2500 0.2500
Tl1 0.0000 0.0000 0.5000
Co1 0.2500 0.2500 0.7500
```

Computed properties:
Final energy = -0.2790 Ry per atom
Total magnetization = 0.163 μB/atom
Calculated density = 10.13 g/cm3

=====

VASP calculation (PBE) on Lu2CoMo after structural relaxation.

Geometry as CIF:
```
data_Lu2CoMo
_cell_length_a 6.6909
_cell_length_b 6.6909
_cell_length_c 6.6909
_cell_angle_alpha 90.00
_cell_angle_beta 90.00
_cell_angle_gamma 90.00
_symmetry_space_group_name_H-M 'F -4 3 m'
_symmetry_Int_Tables_number 216
_symmetry_space_group_name_Hall 'F -4 2 3'
loop_
_atom_site_label
_atom_site_fract_x
_atom_site_fract_y
_atom_site_fract_z
Lu1 0.0000 0.0000 0.0000
Lu2 0.2500 0.2500 0.2500
Co1 0.0000 0.0000 0.5000
Mo1 0.2500 0.2500 0.7500
```

Computed properties:
Final energy = -0.4649 Ry per atom
Total magnetization = 0.665 μB/atom
Calculated density = 11.19 g/cm3
E_form = 0.43 eV/atom

=====

VASP calculation (PBE) on Lu2Co3Mo4N3 after structural relaxation.

Geometry as CIF:
```
data_Lu2Co3Mo4N3
_cell_length_a 9.1367
_cell_length_b 5.3073
_cell_length_c 13.1968
_cell_angle_alpha 90.00
_cell_angle_beta 103.03
_cell_angle_gamma 90.00
_symmetry_space_group_name_H-M 'C 1 2/c 1'
_symmetry_Int_Tables_number 15
_symmetry_space_group_name_Hall '-C 2yc'
loop_
_atom_site_label
_atom_site_fract_x
_atom_site_fract_y
_atom_site_fract_z
Lu1 0.0408 0.0812 0.3751
Co1 0.0000 0.4187 0.7500
Co2 0.2478 0.1598 0.7503
Mo1 0.1109 0.4226 0.5864
Mo2 0.2194 0.4171 0.9141
N1 0.0779 0.2312 0.0003
N2 0.2500 0.2500 0.5000
```

Computed properties:
Final energy = -0.6357 Ry per atom
Total magnetization = 0.131 μB/atom
Calculated density = 10.15 g/cm3

=====

VASP calculation (PBE) on Lu4Co3Mo2N3 after structural relaxation.

Geometry as CIF:
```
data_Lu4Co3Mo2N3
_cell_length_a 9.5200
_cell_length_b 5.4529
_cell_length_c 13.7822
_cell_angle_alpha 90.00
_cell_angle_beta 102.37
_cell_angle_gamma 90.00
_symmetry_space_group_name_H-M 'C 1 2/c 1'
_symmetry_Int_Tables_number 15
_symmetry_space_group_name_Hall '-C 2yc'
loop_
_atom_site_label
_atom_site_fract_x
_atom_site_fract_y
_atom_site_fract_z
Lu1 0.1107 0.1055 0.0920
Lu2 0.2198 0.0889 0.4076
Co1 0.0000 0.1690 0.2500
Co2 0.2199 0.1825 0.7498
Mo1 0.0321 0.3992 0.8471
N1 0.0821 0.2491 0.5092
N2 0.2500 0.2500 0.0000
```

Computed properties:
Final energy = -0.5487 Ry per atom
Total magnetization = 0.130 μB/atom
Calculated density = 10.56 g/cm3

=====

VASP calculation (PBE) on LuCoSnMo after structural relaxation.

Geometry as CIF:
```
data_LuCoSnMo
_cell_length_a 6.6573
_cell_length_b 6.6573
_cell_length_c 6.6573
_cell_angle_alpha 90.00
_cell_angle_beta 90.00
_cell_angle_gamma 90.00
_symmetry_space_group_name_H-M 'F -4 3 m'
_symmetry_Int_Tables_number 216
_symmetry_space_group_name_Hall 'F -4 2 3'
loop_
_atom_site_label
_atom_site_fract_x
_atom_site_fract_y
_atom_site_fract_z
Lu1 0.0000 0.0000 0.0000
Co1 0.0000 0.0000 0.5000
Sn1 0.2500 0.2500 0.2500
Mo1 0.2500 0.2500 0.7500
```

Computed properties:
Final energy = -0.4606 Ry per atom
Total magnetization = 0.965 μB/atom
Calculated density = 10.10 g/cm3

=====

VASP calculation (PBE) on LuCoSnMo after structural relaxation.

Geometry as CIF:
```
data_LuCoSnMo
_cell_length_a 6.5639
_cell_length_b 6.5639
_cell_length_c 6.5639
_cell_angle_alpha 90.00
_cell_angle_beta 90.00
_cell_angle_gamma 90.00
_symmetry_space_group_name_H-M 'F -4 3 m'
_symmetry_Int_Tables_number 216
_symmetry_space_group_name_Hall 'F -4 2 3'
loop_
_atom_site_label
_atom_site_fract_x
_atom_site_fract_y
_atom_site_fract_z
Lu1 0.0000 0.0000 0.0000
Co1 0.2500 0.2500 0.7500
Sn1 0.0000 0.0000 0.5000
Mo1 0.2500 0.2500 0.2500
```

Computed properties:
Final energy = -0.4774 Ry per atom
Total magnetization = 0.470 μB/atom
Calculated density = 10.54 g/cm3

=====

VASP calculation (PBE) on LuZnCoMo after structural relaxation.

Geometry as CIF:
```
data_LuZnCoMo
_cell_length_a 6.3804
_cell_length_b 6.3804
_cell_length_c 6.3804
_cell_angle_alpha 90.00
_cell_angle_beta 90.00
_cell_angle_gamma 90.00
_symmetry_space_group_name_H-M 'F -4 3 m'
_symmetry_Int_Tables_number 216
_symmetry_space_group_name_Hall 'F -4 2 3'
loop_
_atom_site_label
_atom_site_fract_x
_atom_site_fract_y
_atom_site_fract_z
Lu1 0.0000 0.0000 0.0000
Zn1 0.0000 0.0000 0.5000
Co1 0.2500 0.2500 0.7500
Mo1 0.2500 0.2500 0.2500
```

Computed properties:
Final energy = -0.4124 Ry per atom
Total magnetization = 0.611 μB/atom
Calculated density = 10.11 g/cm3
E_form = 0.32 eV/atom

=====

VASP calculation (PBE) on LuZnCoMo after structural relaxation.

Geometry as CIF:
```
data_LuZnCoMo
_cell_length_a 6.3660
_cell_length_b 6.3660
_cell_length_c 6.3660
_cell_angle_alpha 90.00
_cell_angle_beta 90.00
_cell_angle_gamma 90.00
_symmetry_space_group_name_H-M 'F -4 3 m'
_symmetry_Int_Tables_number 216
_symmetry_space_group_name_Hall 'F -4 2 3'
loop_
_atom_site_label
_atom_site_fract_x
_atom_site_fract_y
_atom_site_fract_z
Lu1 0.0000 0.0000 0.0000
Zn1 0.2500 0.2500 0.2500
Co1 0.0000 0.0000 0.5000
Mo1 0.2500 0.2500 0.7500
```

Computed properties:
Final energy = -0.4130 Ry per atom
Total magnetization = 0.500 μB/atom
Calculated density = 10.18 g/cm3
E_form = 0.32 eV/atom

=====

VASP calculation (PBE) on Lu3CoN2 after structural relaxation.

Geometry as CIF:
```
data_Lu3CoN2
_cell_length_a 3.3249
_cell_length_b 3.3249
_cell_length_c 18.8228
_cell_angle_alpha 90.00
_cell_angle_beta 90.00
_cell_angle_gamma 120.00
_symmetry_space_group_name_H-M 'P 63/m m c'
_symmetry_Int_Tables_number 194
_symmetry_space_group_name_Hall '-P 6c 2c'
loop_
_atom_site_label
_atom_site_fract_x
_atom_site_fract_y
_atom_site_fract_z
Lu1 0.0000 0.0000 0.0000
Lu2 0.3333 0.6667 0.1447
Co1 0.0000 0.0000 0.2500
N1 0.3333 0.6667 0.5734
```

Computed properties:
Final energy = -0.5399 Ry per atom
Total magnetization = 0.042 μB/atom
Calculated density = 11.28 g/cm3